VASP calculation (GGA-PBEsol) on an optimized crystal structure of MgZnC2.

Cell: 3.881 3.881 3.881 Å, 60.00 60.00 60.00°
Atoms (fractional coordinates):
C (0.250, 0.250, 0.250)
C (0.750, 0.750, 0.750)
Zn (0.500, 0.500, 0.500)
Mg (0.000, 0.000, 0.000)

Summary:
Energy = -0.3038 Ry per atom
Size of the total moment = 0.000 μB per formula unit
Space-group type = Fm-3m, No. 225